No. 1
Material: Fe2RhSe
Method: DFT, GGA-PBE
State: optimized geometry

abc: 2.8615 3.8613 5.1313
angles: 90.00 100.06 90.00
Closest atoms and distances in Å follow each position.
Space group P2/m (No. 10)
One atom of each set of equivalent atoms:
Fe: 0.0561 0.0000 0.2499 x2  2 Fe 2.53-2.64, 2 Se 2.53, 4 Rh 2.68-2.75
Rh: 0.5000 0.5000 0.0000 x1  2 Se 2.57, 8 Fe 2.68-2.75, 2 Rh 2.86
Se: 0.5000 0.5000 0.5000 x1  4 Fe 2.53, 2 Rh 2.57

Output
Energy relative to the elements, uncorrected, eV/f.u.: 0.683
N(E_F), states/eV/f.u.: 4.24



No. 2
Material: AlRu3W
Method: DFT, GGA-PBE
State: optimized geometry

abc: 4.6586 4.6586 4.6586
angles: 90.00 90.00 90.00
Closest atoms and distances in Å follow each position.
Space group Pm-3m (No. 221)
One atom of each set of equivalent atoms:
Al: 0.0000 0.0000 0.0000 x1  12 Ru 3.29
Ru: 0.0000 0.5000 0.5000 x3  2 W 2.33
W: 0.5000 0.5000 0.5000 x1  6 Ru 2.33

Output
Polymorph energy (0 for the lowest one), meV/atom: 334
Formation enthalpy at 0 K, eV per atom: 1.4708
N(E_F), states/eV/f.u.: 6.01